[1]
The following is a DFT calculation (PBEsol) of an optimized crystal structure of NiPbBr2.

The space group is Immm (No. 71) and the conventional cell measures 3.5149, 5.3665 and 9.8930 Å, with angles of 90.00, 90.00 and 90.00 degrees. Symmetry generates all atoms from Ni at (0.0000, 0.0000, 0.0000), Pb at (0.0000, 0.0000, 0.5000) and Br at (0.0000, 0.5000, 0.3304).

Its final energy is -29.5 eV/cell.


[2]
The following is a DFT calculation (PBEsol) of an optimized crystal structure of LiScGa2S.

The space group is P4/mmm (No. 123) and the conventional cell measures 5.1268, 5.1268 and 5.2633 Å, with angles of 90.00, 90.00 and 90.00 degrees. Symmetry generates all atoms from Li at (0.0000, 0.0000, 0.0000), Sc at (0.0000, 0.0000, 0.5000), Ga at (0.0000, 0.5000, 0.5000) and S at (0.5000, 0.5000, 0.0000).

Its final energy is -15.4 eV/cell.


| no. | calculated volume (Å³/atom) |
| --- | --- |
| 1 | 23.3 |
| 2 | 27.7 |